# MnRhAu2 (PBE-GGA, optimized geometry)
# Raw total energy in hartree per atom: -0.2005
# Energy of formation in eV/atom: 0.31
data_MnRhAu2
_space_group_name_H-M_alt 'I -4 2 d'
_space_group_IT_number 122
_space_group_name_Hall 'I -4 2bw'
_cell_length_a 7.307
_cell_length_b 7.307
_cell_length_c 5.365
_cell_angle_alpha 90.00
_cell_angle_beta 90.00
_cell_angle_gamma 90.00
loop_
_atom_site_label
_atom_site_type_symbol
_atom_site_fract_x
_atom_site_fract_y
_atom_site_fract_z
Mn1 Mn 0.000 0.000 0.000
Rh1 Rh 0.000 0.000 0.500
Au1 Au 0.244 0.250 0.125